# 1
A relaxed Na12Tl3Pb crystal, computed with GGA-PBE.

Cell: 4.9417 4.9417 20.1092 Å, 90.00 90.00 90.00°
With the nearest neighbours (Å) after each atom.
Element x y z (fractional)
1 Na 0.5000 0.0000 0.3761  8 Na 3.49-3.54, 4 Tl 3.51-3.56
2 Na 0.0000 0.5000 0.1225  2 Pb 3.49, 8 Na 3.49-3.56, 2 Tl 3.54
3 Na 0.5000 0.0000 0.8775  2 Pb 3.49, 8 Na 3.49-3.56, 2 Tl 3.54
4 Na 0.0000 0.5000 0.6239  8 Na 3.49-3.54, 4 Tl 3.51-3.56
5 Na 0.5000 0.5000 0.5000  4 Tl 3.49, 8 Na 3.51
6 Na 0.5000 0.0000 0.1225  8 Na 3.49-3.56, 2 Pb 3.49, 2 Tl 3.54
7 Na 0.0000 0.5000 0.3761  8 Na 3.49-3.54, 4 Tl 3.51-3.56
8 Na 0.5000 0.5000 0.0000  8 Na 3.49, 4 Pb 3.49
9 Tl 0.0000 0.0000 0.2489  12 Na 3.49-3.56
10 Na 0.5000 0.0000 0.6239  8 Na 3.49-3.54, 4 Tl 3.51-3.56
11 Tl 0.0000 0.0000 0.7511  12 Na 3.49-3.56
12 Pb 0.0000 0.0000 0.0000  12 Na 3.49
13 Na 0.0000 0.5000 0.8775  2 Pb 3.49, 8 Na 3.49-3.56, 2 Tl 3.54
14 Na 0.5000 0.5000 0.7498  4 Tl 3.49, 8 Na 3.54-3.56
15 Tl 0.0000 0.0000 0.5000  12 Na 3.49-3.51
16 Na 0.5000 0.5000 0.2502  4 Tl 3.49, 8 Na 3.54-3.56

Properties
DOS(E_F) (states/eV per atom): 0.4375
Total DFT energy (no corrections) (eV/atom): -1.742
Symmetry: P4/mmm, No. 123

***

# 2
A relaxed MgCd6Pd3 crystal, computed with GGA-PBE.

Cell: 5.7192 9.3840 9.3840 Å, 128.25 90.00 90.00°
With the nearest neighbours (Å) after each atom.
Element x y z (fractional)
1 Mg 0.7633 0.7643 0.2357  3 Pd 2.59
2 Cd 0.3534 0.0096 0.3741  2 Pd 2.82-2.92, 2 Mg 2.93-2.96, 3 Cd 3.03-3.14
3 Cd 0.2188 0.9793 0.0207  4 Pd 2.92-2.99, 8 Cd 2.94-3.24
4 Cd 0.3534 0.6259 0.9904  2 Pd 2.82-2.92, 2 Mg 2.93-2.96, 3 Cd 3.03-3.14
5 Pd 0.8956 0.6951 0.9349  1 Mg 2.59, 4 Cd 2.80-2.85
6 Cd 0.2385 0.6686 0.3314  3 Pd 2.82-2.85, 4 Cd 3.04-3.07
7 Cd 0.8534 0.9904 0.6259  2 Pd 2.82-2.92, 2 Mg 2.93-2.96, 3 Cd 3.03-3.14
8 Pd 0.7029 0.6120 0.3880  1 Mg 2.59, 3 Cd 2.80-2.82
9 Cd 0.5320 0.6539 0.7040  4 Pd 2.80-2.91, 6 Cd 2.93-3.07
10 Pd 0.3956 0.9349 0.6951  1 Mg 2.59, 4 Cd 2.80-2.85
11 Pd 0.2029 0.3880 0.6120  1 Mg 2.59, 3 Cd 2.80-2.82
12 Cd 0.7385 0.3314 0.6686  3 Pd 2.82-2.85, 4 Cd 3.04-3.07
13 Cd 0.0320 0.3461 0.2960  4 Pd 2.80-2.91, 6 Cd 2.93-3.07
14 Mg 0.2633 0.2357 0.7643  3 Pd 2.59
15 Cd 0.0320 0.7040 0.6539  4 Pd 2.80-2.91, 6 Cd 2.93-3.07
16 Pd 0.8956 0.0651 0.3049  1 Mg 2.59, 4 Cd 2.80-2.85
17 Pd 0.3956 0.3049 0.0651  1 Mg 2.59, 4 Cd 2.80-2.85
18 Cd 0.7188 0.0207 0.9793  4 Pd 2.92-2.99, 8 Cd 2.94-3.24
19 Cd 0.8534 0.3741 0.0096  2 Pd 2.82-2.92, 2 Mg 2.93-2.96, 3 Cd 3.03-3.14
20 Cd 0.5320 0.2960 0.3461  4 Pd 2.80-2.91, 6 Cd 2.93-3.07

Properties
DOS(E_F) (states/eV per atom): 0.2857
Total DFT energy (no corrections) (eV/atom): -2.479
Symmetry: Cmc2_1, No. 36